(1)
Material: AgAuC3
Method: DFT, PBE
State: relaxed

Computed properties:
M_tot in μB/atom: 0.00
DFT total energy in eV per cell: -17.25
DOS at the Fermi energy in states/eV/cell: 1.72
DFT formation energy in meV/atom: 3311

Cell lengths 4.162, 4.162, 4.162 Å; angles 90.00, 90.00, 90.00 degrees
Positions (direct):
Au 0.500 0.500 0.500
C 0.000 0.000 0.500
C 0.500 0.000 0.000
C 0.000 0.500 0.000
Ag 0.000 0.000 0.000


(2)
Material: Ag3AuC
Method: DFT, PBE
State: relaxed

Computed properties:
M_tot in μB/atom: 0.37
DFT total energy in eV per cell: -11.29
DOS at the Fermi energy in states/eV/cell: 2.53
DFT formation energy in meV/atom: 1953

Cell lengths 5.200, 5.200, 5.200 Å; angles 90.00, 90.00, 90.00 degrees
Positions (direct):
C 0.500 0.500 0.500
Ag 0.000 0.500 0.000
Ag 0.000 0.000 0.500
Ag 0.500 0.000 0.000
Au 0.000 0.000 0.000


(3)
Material: Ag3AuC
Method: DFT, PBE
State: relaxed

Computed properties:
M_tot in μB/atom: 0.00
DFT total energy in eV per cell: -17.47
DOS at the Fermi energy in states/eV/cell: 0.02
DFT formation energy in meV/atom: 717

Cell lengths 4.325, 4.325, 4.325 Å; angles 90.00, 90.00, 90.00 degrees
Positions (direct):
Ag 0.000 0.500 0.000
Ag 0.500 0.000 0.000
Ag 0.000 0.000 0.500
Au 0.500 0.500 0.500
C 0.000 0.000 0.000